DFT (PBE-GGA) results for a relaxed Mg2NiRh crystal.

abc: 3.133 3.133 6.445
angles: 90.00 90.00 89.97
Site moments in Bohr magnetons follow the coordinates.
Fractional coordinates of all 4 atoms:
1 Rh 0.500 0.500 0.731  0.14
2 Ni 0.000 0.000 0.513  0.26
3 Mg 0.000 0.000 0.958  0.00
4 Mg 0.500 0.500 0.298  0.00

Final energy: -4.223 eV per atom
DOS(E_F): 1.229 states/eV/atom
SG: P4mm, No. 99
ΔE_f: -0.142 eV/atom
Spin magnetization: 0.373 μB per formula unit